Entry 1:
Crystalline Sm12Cu6Os at its relaxed geometry. Source: Alexandria via LeMat-Bulk, functional GGA-PBE.

a = 8.2813 Å, b = 8.2813 Å, c = 8.2813 Å
α = 97.73°, β = 97.73°, γ = 97.73°
Sites, in units of the cell vectors:
Sm 0.0349 0.9152 0.6784
Sm 0.0848 0.3216 0.9651
Sm 0.1901 0.5676 0.4163
Sm 0.3216 0.9651 0.0848
Sm 0.4163 0.1901 0.5676
Sm 0.4324 0.5837 0.8099
Sm 0.5676 0.4163 0.1901
Sm 0.5837 0.8099 0.4324
Sm 0.6784 0.0349 0.9152
Sm 0.8099 0.4324 0.5837
Sm 0.9152 0.6784 0.0349
Sm 0.9651 0.0848 0.3216
Cu 0.1285 0.3122 0.6269
Cu 0.3122 0.6269 0.1285
Cu 0.3731 0.8715 0.6878
Cu 0.6269 0.1285 0.3122
Cu 0.6878 0.3731 0.8715
Cu 0.8715 0.6878 0.3731
Os 0.0000 0.0000 0.0000

Results
Energy: -4.8241 eV/atom
Space-group type: No. 148
Magnetization: 0.000 μB per cell
Mass density: 7.16 g/cm³
ΔE_f: 0.041 eV/atom

Entry 2:
Crystalline Sm8CuOs2 at its relaxed geometry. Source: Alexandria via LeMat-Bulk, functional GGA-PBE.

a = 7.6679 Å, b = 7.6679 Å, c = 6.1159 Å
α = 100.08°, β = 100.08°, γ = 111.95°
Sites, in units of the cell vectors:
Sm 0.0000 0.0000 0.0000
Sm 0.0249 0.2914 0.5916
Sm 0.1422 0.5805 0.2019
Sm 0.2914 0.0249 0.5916
Sm 0.4427 0.7089 0.8025
Sm 0.5805 0.1422 0.2019
Sm 0.7089 0.4427 0.8025
Sm 0.7314 0.7314 0.3992
Cu 0.3644 0.3644 0.3690
Os 0.0561 0.6784 0.6957
Os 0.6784 0.0561 0.6957

Results
Energy: -5.8760 eV/atom
Space-group type: No. 8
Magnetization: 0.000 μB per cell
Mass density: 8.63 g/cm³
ΔE_f: -0.030 eV/atom

Entry 3:
Crystalline SmCuOs at its relaxed geometry. Source: Alexandria via LeMat-Bulk, functional GGA-PBE.

a = 6.3578 Å, b = 12.0456 Å, c = 4.2843 Å
α = 90.00°, β = 132.26°, γ = 90.00°
Sites, in units of the cell vectors:
Sm 0.0000 0.1172 0.2500
Sm 0.0000 0.8828 0.7500
Sm 0.5000 0.3828 0.7500
Sm 0.5000 0.6172 0.2500
Cu 0.2500 0.2500 0.0000
Cu 0.2500 0.7500 0.5000
Cu 0.7500 0.2500 0.5000
Cu 0.7500 0.7500 0.0000
Os 0.0000 0.4505 0.7500
Os 0.0000 0.5495 0.2500
Os 0.5000 0.0495 0.2500
Os 0.5000 0.9505 0.7500

Results
Energy: -6.7182 eV/atom
Space-group type: No. 15
Magnetization: 0.000 μB per cell
Mass density: 11.05 g/cm³
ΔE_f: -0.037 eV/atom

Entry 4:
Crystalline Sm2CuOs at its relaxed geometry. Source: Alexandria via LeMat-Bulk, functional GGA-PBE.

a = 4.0744 Å, b = 4.0744 Å, c = 26.4937 Å
α = 90.00°, β = 90.00°, γ = 120.00°
Sites, in units of the cell vectors:
Sm 0.0000 0.0000 0.1096
Sm 0.0000 0.0000 0.8904
Sm 0.3333 0.6667 0.5571
Sm 0.3333 0.6667 0.7763
Sm 0.6667 0.3333 0.2237
Sm 0.6667 0.3333 0.4429
Cu 0.0000 0.0000 0.0000
Cu 0.3333 0.6667 0.6667
Cu 0.6667 0.3333 0.3333
Os 0.0000 0.0000 0.5000
Os 0.3333 0.6667 0.1667
Os 0.6667 0.3333 0.8333

Results
Energy: -5.6762 eV/atom
Space-group type: No. 166
Magnetization: 0.000 μB per cell
Mass density: 7.25 g/cm³
ΔE_f: 0.515 eV/atom

Copy entry 1 word for word.
Crystalline Sm12Cu6Os at its relaxed geometry. Source: Alexandria via LeMat-Bulk, functional GGA-PBE.

a = 8.2813 Å, b = 8.2813 Å, c = 8.2813 Å
α = 97.73°, β = 97.73°, γ = 97.73°
Sites, in units of the cell vectors:
Sm 0.0349 0.9152 0.6784
Sm 0.0848 0.3216 0.9651
Sm 0.1901 0.5676 0.4163
Sm 0.3216 0.9651 0.0848
Sm 0.4163 0.1901 0.5676
Sm 0.4324 0.5837 0.8099
Sm 0.5676 0.4163 0.1901
Sm 0.5837 0.8099 0.4324
Sm 0.6784 0.0349 0.9152
Sm 0.8099 0.4324 0.5837
Sm 0.9152 0.6784 0.0349
Sm 0.9651 0.0848 0.3216
Cu 0.1285 0.3122 0.6269
Cu 0.3122 0.6269 0.1285
Cu 0.3731 0.8715 0.6878
Cu 0.6269 0.1285 0.3122
Cu 0.6878 0.3731 0.8715
Cu 0.8715 0.6878 0.3731
Os 0.0000 0.0000 0.0000

Results
Energy: -4.8241 eV/atom
Space-group type: No. 148
Magnetization: 0.000 μB per cell
Mass density: 7.16 g/cm³
ΔE_f: 0.041 eV/atom

Among the records above, which one has the highest mass density?
SmCuOs